Density functional theory data (PBE+U) for a relaxed ErScV2O8 crystal.

## Properties
* space-group type: I-4m2
* ρ: 4.8 g cm⁻³
* calculated volume: 12.8 Å³ per atom
* total DFT energy (no corrections): -97.27 eV per cell
* total magnetic moment: 0.00 μB per cell

Unit cell a=5.8676 b=5.8676 c=5.8676 alpha=106.48 beta=106.48 gamma=115.62
Fractional positions:
O: 0.9253 0.2325 0.3072
O: 0.3175 0.5031 0.1856
O: 0.4969 0.6825 0.8144
O: 0.9253 0.6181 0.6928
O: 0.8681 0.6825 0.1856
O: 0.3175 0.1319 0.8144
O: 0.7675 0.0747 0.6928
O: 0.3819 0.0747 0.3072
V: 0.5000 0.5000 0.0000
V: 0.7500 0.2500 0.5000
Sc: 0.0000 0.0000 0.0000
Er: 0.2500 0.7500 0.5000